# Rb2NaTeI6 PBE-GGA optimized geometry
data_Rb2NaTeI6
_chemical_formula_sum 'Rb4 Na2 Te2 I12'
_symmetry_space_group_name_H-M 'I 4/m m m'
_symmetry_Int_Tables_number 139
_symmetry_space_group_name_Hall '-I 4 2'
_cell_length_a 8.6398
_cell_length_b 8.6398
_cell_length_c 12.9408
_cell_angle_alpha 90.00
_cell_angle_beta 90.00
_cell_angle_gamma 90.00
loop_
_atom_site_label
_atom_site_fract_x
_atom_site_fract_y
_atom_site_fract_z
_atom_site_occupancy
Rb1 0.0000 0.5000 0.2500 1
Na1 0.0000 0.0000 0.0000 1
Te1 0.0000 0.0000 0.5000 1
I1 0.0000 0.0000 0.2364 1
I2 0.2405 0.2405 0.5000 1
# - D(E_F) (states/eV per atom) = 0.05
# - energy relative to the lowest polymorph listed for this composition (meV/atom) = 2

***

# Li3TaAs PBE-GGA optimized geometry
data_Li3TaAs
_chemical_formula_sum 'Li3 Ta1 As1'
_symmetry_space_group_name_H-M 'P m -3 m'
_symmetry_Int_Tables_number 221
_symmetry_space_group_name_Hall '-P 4 2 3'
_cell_length_a 4.4371
_cell_length_b 4.4371
_cell_length_c 4.4371
_cell_angle_alpha 90.00
_cell_angle_beta 90.00
_cell_angle_gamma 90.00
loop_
_atom_site_label
_atom_site_fract_x
_atom_site_fract_y
_atom_site_fract_z
_atom_site_occupancy
Li1 0.0000 0.0000 0.5000 1
Ta1 0.5000 0.5000 0.5000 1
As1 0.0000 0.0000 0.0000 1
# - D(E_F) (states/eV per atom) = 1.02
# - energy relative to the lowest polymorph listed for this composition (meV/atom) = 0
# - DFT formation energy (eV per atom) = 0.736

***

# BaAlPb2 PBE-GGA optimized geometry
data_BaAlPb2
_chemical_formula_sum 'Ba2 Al2 Pb4'
_symmetry_space_group_name_H-M 'C m m m'
_symmetry_Int_Tables_number 65
_symmetry_space_group_name_Hall '-C 2 2'
_cell_length_a 5.5136
_cell_length_b 5.9239
_cell_length_c 7.6923
_cell_angle_alpha 90.00
_cell_angle_beta 90.00
_cell_angle_gamma 90.00
loop_
_atom_site_label
_atom_site_fract_x
_atom_site_fract_y
_atom_site_fract_z
_atom_site_occupancy
Ba1 0.0000 0.0000 0.0000 1
Al1 0.0000 0.0000 0.5000 1
Pb1 0.0000 0.5000 0.3021 1
# - D(E_F) (states/eV per atom) = 0.51
# - DFT formation energy (eV per atom) = -0.128

***

# MgZrInW2 PBE-GGA optimized geometry
data_MgZrInW2
_chemical_formula_sum 'Mg1 Zr1 In1 W2'
_symmetry_space_group_name_H-M 'P 4/m m m'
_symmetry_Int_Tables_number 123
_symmetry_space_group_name_Hall '-P 4 2'
_cell_length_a 4.8682
_cell_length_b 4.8682
_cell_length_c 5.2156
_cell_angle_alpha 90.00
_cell_angle_beta 90.00
_cell_angle_gamma 90.00
loop_
_atom_site_label
_atom_site_fract_x
_atom_site_fract_y
_atom_site_fract_z
_atom_site_occupancy
Mg1 0.0000 0.0000 0.0000 1
Zr1 0.0000 0.0000 0.5000 1
In1 0.5000 0.5000 0.0000 1
W1 0.0000 0.5000 0.5000 1
# - D(E_F) (states/eV per atom) = 1.19
# - DFT formation energy (eV per atom) = 1.950

***

# K4PbSe PBE-GGA optimized geometry
data_K4PbSe
_chemical_formula_sum 'K16 Pb4 Se4'
_symmetry_space_group_name_H-M 'F -4 3 m'
_symmetry_Int_Tables_number 216
_symmetry_space_group_name_Hall 'F -4 2 3'
_cell_length_a 9.8668
_cell_length_b 9.8668
_cell_length_c 9.8668
_cell_angle_alpha 90.00
_cell_angle_beta 90.00
_cell_angle_gamma 90.00
loop_
_atom_site_label
_atom_site_fract_x
_atom_site_fract_y
_atom_site_fract_z
_atom_site_occupancy
K1 0.1237 0.1237 0.3763 1
Pb1 0.0000 0.0000 0.0000 1
Se1 0.2500 0.2500 0.7500 1
# - D(E_F) (states/eV per atom) = 0.49
# - electronic total energy (eV/atom) = -1.8439

***

# Pr12CuAg6 PBE-GGA optimized geometry
data_Pr12CuAg6
_chemical_formula_sum 'Pr36 Cu3 Ag18'
_symmetry_space_group_name_H-M 'R -3'
_symmetry_Int_Tables_number 148
_symmetry_space_group_name_Hall '-R 3'
_cell_length_a 11.4616
_cell_length_b 11.4616
_cell_length_c 14.4052
_cell_angle_alpha 90.00
_cell_angle_beta 90.00
_cell_angle_gamma 120.00
loop_
_atom_site_label
_atom_site_fract_x
_atom_site_fract_y
_atom_site_fract_z
_atom_site_occupancy
Pr1 0.0319 0.8435 0.3327 1
Pr2 0.0585 0.2085 0.9019 1
Cu1 0.0000 0.0000 0.5000 1
Ag1 0.0364 0.5976 0.2062 1
# - D(E_F) (states/eV per atom) = 1.24
# - DFT formation energy (eV per atom) = -0.035

***

# CaGePd PBE-GGA optimized geometry
data_CaGePd
_chemical_formula_sum 'Ca4 Ge4 Pd4'
_symmetry_space_group_name_H-M 'C 1 2/m 1'
_symmetry_Int_Tables_number 12
_cell_length_a 10.4935
_cell_length_b 4.4887
_cell_length_c 7.2226
_cell_angle_alpha 90.00
_cell_angle_beta 133.02
_cell_angle_gamma 90.00
loop_
_symmetry_equiv_pos_as_xyz
'x,y,z'
'-x,-y,-z'
'-x,y,-z'
'x,-y,z'
'x+1/2,y+1/2,z'
'-x+1/2,-y+1/2,-z'
'-x+1/2,y+1/2,-z'
'x+1/2,-y+1/2,z'
loop_
_atom_site_label
_atom_site_fract_x
_atom_site_fract_y
_atom_site_fract_z
_atom_site_occupancy
Ca1 0.0548 0.0000 0.3129 1
Ge1 0.1617 0.5000 0.1040 1
Pd1 0.1842 0.5000 0.7612 1
# - D(E_F) (states/eV per atom) = 0.41
# - DFT formation energy (eV per atom) = -0.732

***

# Y3Ho2TmSe6 PBE-GGA optimized geometry
data_Y3Ho2TmSe6
_chemical_formula_sum 'Y6 Ho4 Tm2 Se12'
_symmetry_space_group_name_H-M 'C 1 2/m 1'
_symmetry_Int_Tables_number 12
_cell_length_a 17.7163
_cell_length_b 4.0517
_cell_length_c 8.1661
_cell_angle_alpha 90.00
_cell_angle_beta 103.58
_cell_angle_gamma 90.00
loop_
_symmetry_equiv_pos_as_xyz
'x,y,z'
'-x,-y,-z'
'-x,y,-z'
'x,-y,z'
'x+1/2,y+1/2,z'
'-x+1/2,-y+1/2,-z'
'-x+1/2,y+1/2,-z'
'x+1/2,-y+1/2,z'
loop_
_atom_site_label
_atom_site_fract_x
_atom_site_fract_y
_atom_site_fract_z
_atom_site_occupancy
Y1 0.0000 0.0000 0.0000 1
Y2 0.1679 0.5000 0.3329 1
Ho1 0.1675 0.5000 0.8345 1
Tm1 0.0000 0.0000 0.5000 1
Se1 0.9996 0.5000 0.2547 1
Se2 0.1645 0.0000 0.5841 1
Se3 0.1669 0.0000 0.0813 1
# - D(E_F) (states/eV per atom) = 0.48
# - electronic total energy (eV/atom) = -6.2270

***

# LiNi2Rh PBE-GGA optimized geometry
data_LiNi2Rh
_chemical_formula_sum 'Li1 Ni2 Rh1'
_symmetry_space_group_name_H-M 'P 4/m m m'
_symmetry_Int_Tables_number 123
_symmetry_space_group_name_Hall '-P 4 2'
_cell_length_a 3.5307
_cell_length_b 3.5307
_cell_length_c 3.7614
_cell_angle_alpha 90.00
_cell_angle_beta 90.00
_cell_angle_gamma 90.00
loop_
_atom_site_label
_atom_site_fract_x
_atom_site_fract_y
_atom_site_fract_z
_atom_site_occupancy
Li1 0.0000 0.0000 0.0000 1
Ni1 0.0000 0.5000 0.5000 1
Rh1 0.5000 0.5000 0.0000 1
# - D(E_F) (states/eV per atom) = 0.95
# - DFT formation energy (eV per atom) = -0.002

***

# Ni2PtRh PBE-GGA optimized geometry
data_Ni2PtRh
_chemical_formula_sum 'Ni2 Pt1 Rh1'
_symmetry_space_group_name_H-M 'P m m m'
_symmetry_Int_Tables_number 47
_cell_length_a 2.6875
_cell_length_b 4.3926
_cell_length_c 4.5632
_cell_angle_alpha 90.00
_cell_angle_beta 90.00
_cell_angle_gamma 90.00
loop_
_symmetry_equiv_pos_as_xyz
'x,y,z'
'-x,-y,-z'
'-x,-y,z'
'x,y,-z'
'x,-y,-z'
'-x,y,z'
'-x,y,-z'
'x,-y,z'
loop_
_atom_site_label
_atom_site_fract_x
_atom_site_fract_y
_atom_site_fract_z
_atom_site_occupancy
Ni1 0.0000 0.0000 0.0000 1
Ni2 0.5000 0.0000 0.5000 1
Pt1 0.0000 0.5000 0.5000 1
Rh1 0.5000 0.5000 0.0000 1
# - D(E_F) (states/eV per atom) = 1.70
# - DFT formation energy (eV per atom) = 0.118